A plane-wave DFT calculation with GGA+U was carried out for a relaxed CoI2NO crystal.

The density of states at the Fermi level comes out at 2.3 states/eV/f.u. Its distance to the lowest polymorph of the same formula is 0 meV per atom. The total magnetization comes out at 6.08 μB/cell.

It has space group P4/mmm (No. 123), with a = 6.0078 Å, b = 6.0078 Å, c = 3.4588 Å, α = 90.00°, β = 90.00° and γ = 90.00°. Symmetry generates all atoms from Co at (0.0000, 0.0000, 0.0000), I at (0.0000, 0.5000, 0.0000), N at (0.5000, 0.5000, 0.5000) and O at (0.0000, 0.0000, 0.5000).